Record 1
Here is a geometry-optimized CsTl2RuBr8 structure from Alexandria via LeMat-Bulk. Energies are from PBE.

Output
SG	P-1 (2)
total magnetic moment	0.17	μB/atom
uncorrected energy	-3.04	eV per atom
energy relative to the elements, uncorrected	-0.685	eV per atom

Unit cell a=6.0455 b=7.3040 c=9.7929 alpha=89.99 beta=73.81 gamma=89.77
Atoms (fractional coordinates):
Cs  0.0000  0.0000  0.0000
Tl  0.3115  0.4987  0.3170
Tl  0.6885  0.5013  0.6830
Ru  0.0000  0.0000  0.5000
Br  0.1716  0.2428  0.6194
Br  0.1722  0.7562  0.6196
Br  0.2489  0.4999  0.9957
Br  0.3441  0.9990  0.2857
Br  0.6559  0.0010  0.7143
Br  0.7511  0.5001  0.0043
Br  0.8278  0.2438  0.3804
Br  0.8284  0.7572  0.3806

Record 2
Here is a geometry-optimized TeIr3C structure from Alexandria via LeMat-Bulk. Energies are from PBE.

Output
SG	Pm-3m (221)
total magnetic moment	0.26	μB/atom
energy relative to the lowest polymorph listed for this composition	11.607	eV per formula unit
uncorrected energy	-4.73	eV per atom
energy relative to the elements, uncorrected	3.055	eV per atom

Unit cell a=4.8505 b=4.8505 c=4.8505 alpha=90.00 beta=90.00 gamma=90.00
Atoms (fractional coordinates):
Te  0.0000  0.0000  0.0000
Ir  0.0000  0.0000  0.5000
Ir  0.0000  0.5000  0.0000
Ir  0.5000  0.0000  0.0000
C  0.5000  0.5000  0.5000

Record 3
Here is a geometry-optimized TlZnTc structure from Alexandria via LeMat-Bulk. Energies are from PBE.

Output
SG	Fmm2 (42)
total magnetic moment	0.24	μB/atom
formation energy from the elements	574	meV/atom
energy relative to the lowest polymorph listed for this composition	0.120	eV per formula unit
uncorrected energy	-4.09	eV per atom

Unit cell a=6.9549 b=6.9534 c=2.9230 alpha=77.90 beta=77.84 gamma=24.26
Atoms (fractional coordinates):
Tl  0.0000  0.0000  0.0000
Zn  0.7021  0.7021  0.2979
Tc  0.3293  0.3293  0.6707

The lowest total magnetic moment belongs to which entry? CsTl2RuBr8

Number 3 is which compound? TlZnTc

Which value of total magnetic moment does entry 3 give? 0.24 μB/atom

The highest uncorrected energy belongs to which entry? CsTl2RuBr8